Entry 1:
The following is a DFT calculation (PBE-GGA) of a geometry-optimized ZrSbTe structure.

Structure (POSCAR):
```
ZrSbTe
1.0
5.007 0.000 0.000
2.503 4.336 0.000
2.503 1.445 4.088
Te Sb Zr
1 1 1
direct
0.500 0.500 0.500
0.000 0.000 0.000
0.750 0.750 0.750
```

=====

Entry 2:
The following is a DFT calculation (PBE-GGA) of a geometry-optimized ZrSbTe2 structure.

Structure (POSCAR):
```
ZrSbTe2
1.0
6.071 0.037 0.000
2.744 5.416 0.000
-4.407 -2.726 3.162
Te Zr Sb
2 1 1
direct
0.000 0.000 0.000
0.250 0.750 0.500
0.500 0.500 0.000
0.750 0.250 0.500
```

=====

Entry 3:
The following is a DFT calculation (PBE-GGA) of a geometry-optimized Zr6SbTe structure.

Structure (POSCAR):
```
Zr6SbTe
1.0
7.960 0.015 0.186
3.982 6.892 0.033
3.895 2.323 3.307
Zr Sb Te
6 1 1
direct
0.748 0.999 0.753
0.001 0.500 0.751
0.252 0.001 0.247
0.501 0.749 0.750
0.999 0.500 0.249
0.499 0.251 0.250
0.500 0.500 0.500
0.000 0.000 0.000
```

=====

Entry 4:
The following is a DFT calculation (PBE-GGA) of a geometry-optimized ZrSbTe2 structure.

Structure (POSCAR):
```
ZrSbTe2
1.0
-2.971 -4.845 0.301
1.900 1.189 -5.231
2.769 -3.072 -0.913
Te Zr Sb
2 1 1
direct
0.500 0.500 0.000
0.000 0.000 0.000
0.500 0.000 0.500
0.000 0.500 0.500
```

=====

Entry 5:
The following is a DFT calculation (PBE-GGA) of a geometry-optimized Zr4SbTe5 structure.

Structure (POSCAR):
```
Zr4SbTe5
1.0
-3.002 -1.761 -2.015
5.545 -3.519 -5.188
0.912 -5.316 7.302
Te Zr Sb
5 4 1
direct
0.832 0.192 0.663
0.167 0.326 0.334
0.833 0.674 0.666
0.168 0.808 0.337
0.500 0.500 0.000
0.002 0.241 0.004
0.668 0.070 0.336
0.998 0.759 0.996
0.332 0.930 0.664
0.500 0.000 0.000
```

=====

Entry 6:
The following is a DFT calculation (PBE-GGA) of a geometry-optimized Zr4Sb2Te5 structure.

Structure (POSCAR):
```
Zr4Sb2Te5
1.0
3.864 0.000 0.000
0.000 8.698 0.403
-1.932 -2.362 10.863
Te Zr Sb
5 4 2
direct
0.500 0.000 0.000
0.127 0.780 0.255
0.129 0.329 0.257
0.873 0.220 0.745
0.871 0.671 0.743
0.001 0.245 0.002
0.423 0.469 0.846
0.577 0.531 0.154
0.999 0.755 0.998
0.726 0.605 0.452
0.274 0.395 0.548
```

=====

no.,raw formation energy (eV/atom),calculated density (Mg/m³)
1,-0.3039,6.37
2,-0.0713,7.50
3,-0.3867,7.46
4,-0.0915,7.07
5,-0.7809,6.38
6,-0.4663,5.61